# 1
This record from Alexandria via LeMat-Bulk describes a relaxed structure of AcLaCuSb. The functional is PBE.

Space-group type ... No. 216
E_form (uncorrected) ... -502.7 meV per atom
V ... 118.1 Å³/cell

```
data_AcLaCuSb
_cell_length_a 5.5077
_cell_length_b 5.5077
_cell_length_c 5.5077
_cell_angle_alpha 60.00
_cell_angle_beta 60.00
_cell_angle_gamma 60.00
_space_group_name_H-M_alt 'P 1'
_space_group_IT_number 1
loop_
_space_group_symop_operation_xyz
'x,y,z'
loop_
_atom_site_label
_atom_site_fract_x
_atom_site_fract_y
_atom_site_fract_z
Ac1 0.0000 0.0000 0.0000
La1 0.5000 0.5000 0.5000
Cu1 0.7500 0.7500 0.7500
Sb1 0.2500 0.2500 0.2500
```

---

# 2
This record from Alexandria via LeMat-Bulk describes a relaxed structure of Ac2LaCuSe5. The functional is PBE.

Space-group type ... No. 36
E_form (uncorrected) ... -1727.0 meV per atom
V ... 498.9 Å³/cell

```
data_Ac2LaCuSe5
_cell_length_a 9.2215
_cell_length_b 9.2215
_cell_length_c 13.0096
_cell_angle_alpha 90.00
_cell_angle_beta 90.00
_cell_angle_gamma 153.19
_space_group_name_H-M_alt 'P 1'
_space_group_IT_number 1
loop_
_space_group_symop_operation_xyz
'x,y,z'
loop_
_atom_site_label
_atom_site_fract_x
_atom_site_fract_y
_atom_site_fract_z
Ac1 0.1148 0.8852 0.5000
Ac2 0.1181 0.8819 0.1522
Ac3 0.8819 0.1181 0.6522
Ac4 0.8852 0.1148 0.0000
La1 0.1764 0.8236 0.8316
La2 0.8236 0.1764 0.3316
Cu1 0.4500 0.5500 0.2250
Cu2 0.5500 0.4500 0.7250
Se1 0.0145 0.9855 0.8127
Se2 0.2997 0.7003 0.4948
Se3 0.3154 0.6846 0.1671
Se4 0.3443 0.6557 0.8256
Se5 0.4924 0.5076 0.5549
Se6 0.5076 0.4924 0.0549
Se7 0.6557 0.3443 0.3256
Se8 0.6846 0.3154 0.6671
Se9 0.7003 0.2997 0.9948
Se10 0.9855 0.0145 0.3127
```

---

Copy entry 1 word for word.
This record from Alexandria via LeMat-Bulk describes a relaxed structure of AcLaCuSb. The functional is PBE.

Space-group type ... No. 216
E_form (uncorrected) ... -502.7 meV per atom
V ... 118.1 Å³/cell

```
data_AcLaCuSb
_cell_length_a 5.5077
_cell_length_b 5.5077
_cell_length_c 5.5077
_cell_angle_alpha 60.00
_cell_angle_beta 60.00
_cell_angle_gamma 60.00
_space_group_name_H-M_alt 'P 1'
_space_group_IT_number 1
loop_
_space_group_symop_operation_xyz
'x,y,z'
loop_
_atom_site_label
_atom_site_fract_x
_atom_site_fract_y
_atom_site_fract_z
Ac1 0.0000 0.0000 0.0000
La1 0.5000 0.5000 0.5000
Cu1 0.7500 0.7500 0.7500
Sb1 0.2500 0.2500 0.2500
```